Entry from Alexandria: a PBEsol-optimized structure of SrPd5 (meta-GGA SCAN).

Lattice parameters (Å, degrees): 5.358 5.358 4.346 90.00 90.00 120.00
Positions (direct):
Sr 0.000 0.000 0.000
Pd 0.000 0.500 0.500
Pd 0.333 0.667 0.000
Pd 0.500 0.000 0.500
Pd 0.500 0.500 0.500
Pd 0.667 0.333 0.000

Properties
M_tot = 0.00 μB/f.u.
SG = P6/mmm, No. 191
uncorrected energy = -188.47 eV/cell
DFT formation energy = -0.387 eV/atom

---

Entry from Alexandria: a PBEsol-optimized structure of MnCoPb2 (meta-GGA SCAN).

Lattice parameters (Å, degrees): 3.938 5.384 5.384 40.86 90.00 90.00
Positions (direct):
Mn 0.000 0.000 0.000
Co 0.500 0.136 0.136
Pb 0.000 0.714 0.714
Pb 0.500 0.423 0.423

Properties
energy above the most stable polymorph in this dataset = 0.00 kJ per mole of atoms
M_tot = 5.05 μB/f.u.
SG = Amm2, No. 38
uncorrected energy = -186.12 eV/cell
DFT formation energy = 0.249 eV/atom

---

Entry from Alexandria: a PBEsol-optimized structure of TlInC3 (meta-GGA SCAN).

Lattice parameters (Å, degrees): 4.388 4.388 4.388 90.00 90.00 90.00
Positions (direct):
Tl 0.000 0.000 0.000
In 0.500 0.500 0.500
C 0.000 0.000 0.500
C 0.000 0.500 0.000
C 0.500 0.000 0.000

Properties
M_tot = 2.69 μB/f.u.
SG = Pm-3m, No. 221
uncorrected energy = -119.22 eV/cell
DFT formation energy = 3.364 eV/atom

---

Entry from Alexandria: a PBEsol-optimized structure of In3TcIr (meta-GGA SCAN).

Lattice parameters (Å, degrees): 5.026 5.026 5.026 90.00 90.00 90.00
Positions (direct):
In 0.000 0.000 0.500
In 0.000 0.500 0.000
In 0.500 0.000 0.000
Tc 0.500 0.500 0.500
Ir 0.000 0.000 0.000

Properties
M_tot = 4.43 μB/f.u.
SG = Pm-3m, No. 221
uncorrected energy = -202.81 eV/cell
DFT formation energy = 0.703 eV/atom

---

Entry from Alexandria: a PBEsol-optimized structure of CeCoRh (meta-GGA SCAN).

Lattice parameters (Å, degrees): 5.069 5.069 5.069 120.60 117.06 92.06
Positions (direct):
Ce 0.368 0.118 0.250
Ce 0.632 0.882 0.750
Co 0.000 0.000 0.500
Co 0.000 0.500 0.000
Rh 0.000 0.500 0.500
Rh 0.500 0.500 0.000

Properties
M_tot = 0.00 μB/f.u.
SG = Imma, No. 74
uncorrected energy = -193.79 eV/cell
DFT formation energy = -0.418 eV/atom

---

Entry from Alexandria: a PBEsol-optimized structure of KCuP (meta-GGA SCAN).

Lattice parameters (Å, degrees): 3.855 3.855 5.145 90.00 90.00 120.00
Positions (direct):
K 0.000 0.000 0.000
Cu 0.667 0.333 0.500
P 0.333 0.667 0.500

Properties
M_tot = 0.00 μB/f.u.
SG = P-6m2, No. 187
uncorrected energy = -34.85 eV/cell
DFT formation energy = -0.309 eV/atom

---

Entry from Alexandria: a PBEsol-optimized structure of SrAl2Te (meta-GGA SCAN).

Lattice parameters (Å, degrees): 6.584 6.577 4.377 70.66 70.49 38.85
Positions (direct):
Sr 0.000 0.000 0.000
Al 0.000 0.500 0.000
Al 0.500 0.000 0.500
Te 0.500 0.500 0.500

Properties
M_tot = 0.00 μB/f.u.
SG = Fmmm, No. 69
uncorrected energy = -76.11 eV/cell
energy relative to the elements, uncorrected = -26.06 kJ/mol of atoms

---

Entry from Alexandria: a PBEsol-optimized structure of MoOs3 (meta-GGA SCAN).

Lattice parameters (Å, degrees): 5.451 13.224 4.745 90.00 90.00 90.00
Positions (direct):
Mo 0.250 0.087 0.164
Mo 0.250 0.413 0.164
Mo 0.250 0.750 0.508
Mo 0.750 0.250 0.492
Mo 0.750 0.587 0.836
Mo 0.750 0.913 0.836
Os 0.001 0.750 0.004
Os 0.002 0.585 0.335
Os 0.002 0.915 0.335
Os 0.250 0.250 0.500
Os 0.250 0.585 0.837
Os 0.250 0.915 0.837
Os 0.498 0.585 0.335
Os 0.498 0.915 0.335
Os 0.499 0.750 0.004
Os 0.501 0.250 0.996
Os 0.502 0.085 0.665
Os 0.502 0.415 0.665
Os 0.750 0.085 0.163
Os 0.750 0.415 0.163
Os 0.750 0.750 0.500
Os 0.998 0.085 0.665
Os 0.998 0.415 0.665
Os 0.999 0.250 0.996

Properties
M_tot = 0.00 μB/f.u.
SG = Pmmn, No. 59
uncorrected energy = -1503.00 eV/cell
DFT formation energy = 0.006 eV/atom

---

Entry from Alexandria: a PBEsol-optimized structure of ScW2Se (meta-GGA SCAN).

Lattice parameters (Å, degrees): 2.964 2.964 8.341 90.00 90.00 111.67
Positions (direct):
Sc 0.000 0.000 0.000
W 0.000 0.000 0.509
W 0.500 0.500 0.271
Se 0.500 0.500 0.761

Properties
M_tot = 0.00 μB/f.u.
SG = Cmm2, No. 35
uncorrected energy = -173.05 eV/cell
energy relative to the elements, uncorrected = 15.43 kJ/mol of atoms

---

Entry from Alexandria: a PBEsol-optimized structure of K2MgV2O7 (meta-GGA SCAN).

Lattice parameters (Å, degrees): 8.381 8.381 11.301 90.00 90.00 90.00
Positions (direct):
K 0.147 0.147 0.000
K 0.181 0.181 0.500
K 0.319 0.681 0.000
K 0.353 0.647 0.500
K 0.647 0.353 0.500
K 0.681 0.319 0.000
K 0.819 0.819 0.500
K 0.853 0.853 0.000
Mg 0.000 0.500 0.250
Mg 0.000 0.500 0.750
Mg 0.500 0.000 0.250
Mg 0.500 0.000 0.750
V 0.142 0.858 0.289
V 0.142 0.858 0.711
V 0.358 0.358 0.211
V 0.358 0.358 0.789
V 0.642 0.642 0.211
V 0.642 0.642 0.789
V 0.858 0.142 0.289
V 0.858 0.142 0.711
O 0.000 0.000 0.346
O 0.000 0.000 0.654
O 0.089 0.676 0.344
O 0.089 0.676 0.656
O 0.141 0.859 0.143
O 0.141 0.859 0.857
O 0.176 0.411 0.156
O 0.176 0.411 0.844
O 0.324 0.911 0.344
O 0.324 0.911 0.656
O 0.359 0.359 0.357
O 0.359 0.359 0.643
O 0.411 0.176 0.156
O 0.411 0.176 0.844
O 0.500 0.500 0.154
O 0.500 0.500 0.846
O 0.589 0.824 0.156
O 0.589 0.824 0.844
O 0.641 0.641 0.357
O 0.641 0.641 0.643
O 0.676 0.089 0.344
O 0.676 0.089 0.656
O 0.824 0.589 0.156
O 0.824 0.589 0.844
O 0.859 0.141 0.143
O 0.859 0.141 0.857
O 0.911 0.324 0.344
O 0.911 0.324 0.656

Properties
M_tot = 0.00 μB/f.u.
SG = P4_2/mnm, No. 136
uncorrected energy = -528.49 eV/cell
energy relative to the elements, uncorrected = -256.46 kJ/mol of atoms

---

Entry from Alexandria: a PBEsol-optimized structure of Sc2ReP (meta-GGA SCAN).

Lattice parameters (Å, degrees): 2.980 2.980 7.812 90.00 90.00 106.84
Positions (direct):
Sc 0.000 0.000 0.238
Sc 0.000 0.000 0.762
Re 0.500 0.500 0.500
P 0.500 0.500 0.000

Properties
M_tot = 0.00 μB/f.u.
SG = Cmmm, No. 65
uncorrected energy = -111.82 eV/cell
DFT formation energy = -0.463 eV/atom

---

Entry from Alexandria: a PBEsol-optimized structure of YTa2Ga2 (meta-GGA SCAN).

Lattice parameters (Å, degrees): 6.720 6.720 6.720 145.80 145.80 49.14
Positions (direct):
Y 0.000 0.000 0.000
Ta 0.250 0.750 0.500
Ta 0.750 0.250 0.500
Ga 0.401 0.401 0.000
Ga 0.599 0.599 0.000

Properties
M_tot = 0.00 μB/f.u.
SG = I4/mmm, No. 139
uncorrected energy = -195.85 eV/cell
DFT formation energy = -0.430 eV/atom

---

Entry from Alexandria: a PBEsol-optimized structure of Mg2AlGa2 (meta-GGA SCAN).

Lattice parameters (Å, degrees): 6.734 6.734 4.166 90.00 90.00 90.00
Positions (direct):
Mg 0.171 0.329 0.000
Mg 0.329 0.829 0.000
Mg 0.671 0.171 0.000
Mg 0.829 0.671 0.000
Al 0.000 0.000 0.500
Al 0.500 0.500 0.500
Ga 0.133 0.633 0.500
Ga 0.367 0.133 0.500
Ga 0.633 0.867 0.500
Ga 0.867 0.367 0.500

Properties
M_tot = 0.00 μB/f.u.
SG = P4/mbm, No. 127
uncorrected energy = -102.10 eV/cell
DFT formation energy = -0.131 eV/atom

---

Entry from Alexandria: a PBEsol-optimized structure of PrSb2 (meta-GGA SCAN).

Lattice parameters (Å, degrees): 4.372 4.372 18.058 90.00 90.00 88.79
Positions (direct):
Pr 0.137 0.863 0.890
Pr 0.363 0.637 0.390
Pr 0.637 0.363 0.610
Pr 0.863 0.137 0.110
Sb 0.124 0.376 0.750
Sb 0.135 0.865 0.564
Sb 0.365 0.635 0.064
Sb 0.376 0.124 0.250
Sb 0.624 0.876 0.750
Sb 0.635 0.365 0.936
Sb 0.865 0.135 0.436
Sb 0.876 0.624 0.250

Properties
M_tot = 0.00 μB/f.u.
SG = Cmce, No. 64
uncorrected energy = -482.31 eV/cell
energy relative to the elements, uncorrected = -87.78 kJ/mol of atoms

---

Entry from Alexandria: a PBEsol-optimized structure of Mg2MnBr (meta-GGA SCAN).

Lattice parameters (Å, degrees): 3.279 3.279 7.432 90.00 90.00 90.00
Positions (direct):
Mg 0.000 0.000 0.218
Mg 0.000 0.000 0.782
Mn 0.500 0.500 0.000
Br 0.500 0.500 0.500

Properties
energy above the most stable polymorph in this dataset = 7.15 kJ per mole of atoms
M_tot = 3.69 μB/f.u.
SG = P4/mmm, No. 123
uncorrected energy = -48.67 eV/cell
energy relative to the elements, uncorrected = -24.28 kJ/mol of atoms

---

Entry from Alexandria: a PBEsol-optimized structure of MgZrTl2 (meta-GGA SCAN).

Lattice parameters (Å, degrees): 5.198 5.198 3.338 90.00 90.00 90.00
Positions (direct):
Mg 0.000 0.000 0.000
Zr 0.500 0.500 0.000
Tl 0.000 0.500 0.500
Tl 0.500 0.000 0.500

Properties
M_tot = 0.00 μB/f.u.
SG = P4/mmm, No. 123
uncorrected energy = -180.99 eV/cell
DFT formation energy = -0.150 eV/atom

---

Entry from Alexandria: a PBEsol-optimized structure of GeBi3C (meta-GGA SCAN).

Lattice parameters (Å, degrees): 4.953 4.953 4.953 90.00 90.00 90.00
Positions (direct):
Ge 0.000 0.000 0.000
Bi 0.000 0.500 0.500
Bi 0.500 0.000 0.500
Bi 0.500 0.500 0.000
C 0.500 0.500 0.500

Properties
M_tot = 0.00 μB/f.u.
SG = Pm-3m, No. 221
uncorrected energy = -259.03 eV/cell
DFT formation energy = 1.178 eV/atom

---

Entry from Alexandria: a PBEsol-optimized structure of In2NiAu (meta-GGA SCAN).

Lattice parameters (Å, degrees): 4.131 5.390 5.390 37.12 90.00 90.00
Positions (direct):
In 0.000 0.000 0.000
In 0.500 0.307 0.307
Ni 0.000 0.742 0.742
Au 0.500 0.584 0.584

Properties
energy above the most stable polymorph in this dataset = 3.45 kJ per mole of atoms
M_tot = 0.00 μB/f.u.
SG = Amm2, No. 38
uncorrected energy = -152.54 eV/cell
DFT formation energy = -0.110 eV/atom

---

Entry from Alexandria: a PBEsol-optimized structure of ZnIn2TcS (meta-GGA SCAN).

Lattice parameters (Å, degrees): 5.283 5.283 4.344 90.00 90.00 90.00
Positions (direct):
Zn 0.000 0.000 0.000
In 0.000 0.500 0.500
In 0.500 0.000 0.500
Tc 0.500 0.500 0.500
S 0.500 0.500 0.000

Properties
M_tot = 0.00 μB/f.u.
SG = P4/mmm, No. 123
uncorrected energy = -124.05 eV/cell
energy relative to the elements, uncorrected = 17.78 kJ/mol of atoms

---

Entry from Alexandria: a PBEsol-optimized structure of Cd2MoOs (meta-GGA SCAN).

Lattice parameters (Å, degrees): 3.833 3.833 4.545 90.00 90.00 90.00
Positions (direct):
Cd 0.000 0.500 0.000
Cd 0.500 0.000 0.000
Mo 0.000 0.000 0.500
Os 0.500 0.500 0.500

Properties
energy above the most stable polymorph in this dataset = 5.49 kJ per mole of atoms
M_tot = 0.00 μB/f.u.
SG = P4/mmm, No. 123
uncorrected energy = -165.14 eV/cell
DFT formation energy = 0.613 eV/atom

---

Entry from Alexandria: a PBEsol-optimized structure of TlCd2Rh2 (meta-GGA SCAN).

Lattice parameters (Å, degrees): 6.796 6.796 3.979 90.00 90.00 90.00
Positions (direct):
Tl 0.000 0.000 0.000
Tl 0.500 0.500 0.000
Cd 0.158 0.342 0.500
Cd 0.342 0.842 0.500
Cd 0.658 0.158 0.500
Cd 0.842 0.658 0.500
Rh 0.137 0.637 0.000
Rh 0.363 0.137 0.000
Rh 0.637 0.863 0.000
Rh 0.863 0.363 0.000

Properties
M_tot = 0.00 μB/f.u.
SG = P4/mbm, No. 127
uncorrected energy = -402.27 eV/cell
DFT formation energy = -0.081 eV/atom

---

Entry from Alexandria: a PBEsol-optimized structure of MoOs2 (meta-GGA SCAN).

Lattice parameters (Å, degrees): 7.274 7.274 4.382 90.00 90.00 158.20
Positions (direct):
Mo 0.110 0.890 0.750
Mo 0.890 0.110 0.250
Os 0.222 0.778 0.250
Os 0.441 0.559 0.750
Os 0.559 0.441 0.250
Os 0.778 0.222 0.750

Properties
energy above the most stable polymorph in this dataset = 2.13 kJ per mole of atoms
M_tot = 0.00 μB/f.u.
SG = Cmcm, No. 63
uncorrected energy = -357.31 eV/cell
DFT formation energy = -0.004 eV/atom

---

Entry from Alexandria: a PBEsol-optimized structure of RbCa3W (meta-GGA SCAN).

Lattice parameters (Å, degrees): 5.438 5.438 5.438 90.00 90.00 90.00
Positions (direct):
Rb 0.000 0.000 0.000
Ca 0.000 0.000 0.500
Ca 0.000 0.500 0.000
Ca 0.500 0.000 0.000
W 0.500 0.500 0.500

Properties
M_tot = 1.54 μB/f.u.
SG = Pm-3m, No. 221
uncorrected energy = -109.01 eV/cell
DFT formation energy = 2.081 eV/atom

---

Entry from Alexandria: a PBEsol-optimized structure of TbGaPd (meta-GGA SCAN).

Lattice parameters (Å, degrees): 6.854 4.419 7.529 90.00 90.00 90.00
Positions (direct):
Tb 0.018 0.250 0.197
Tb 0.482 0.750 0.697
Tb 0.518 0.250 0.303
Tb 0.982 0.750 0.803
Ga 0.174 0.250 0.577
Ga 0.326 0.750 0.077
Ga 0.674 0.250 0.923
Ga 0.826 0.750 0.423
Pd 0.218 0.750 0.404
Pd 0.282 0.250 0.904
Pd 0.718 0.750 0.096
Pd 0.782 0.250 0.596

Properties
M_tot = 0.00 μB/f.u.
SG = Pnma, No. 62
uncorrected energy = -395.67 eV/cell
DFT formation energy = -1.011 eV/atom